Record 1
# ZrIn3

A geometry-optimized ZrIn3 structure (PBE, Alexandria via LeMat-Bulk).

Computed properties:
M_tot ... 0.00 μB per cell
DFT total energy ... -17.65 eV/f.u.
ΔE_f ... -0.220 eV/atom

abc: 4.2869 4.2869 9.9268
angles: 90.00 90.00 90.00
Last column: nearest neighbours and their distance in Å.
Space group I4/mmm (No. 139)
Symmetry-distinct sites (fractional):
Zr 0.0000 0.0000 0.0000 [2 per cell]  12 In 3.03-3.28
In 0.0000 0.0000 0.5000 [2 per cell]  4 Zr 3.03, 8 In 3.28
In 0.0000 0.5000 0.2500 [4 per cell]  8 In 3.03-3.28, 4 Zr 3.28

***

Record 2
# Dy2BPt6

A geometry-optimized Dy2BPt6 structure (PBE, Alexandria via LeMat-Bulk).

Computed properties:
M_tot ... 0.00 μB per cell
DFT total energy ... -60.77 eV/f.u.
ΔE_f ... -0.961 eV/atom

abc: 5.8049 5.8049 5.1667
angles: 90.00 90.00 120.00
Last column: nearest neighbours and their distance in Å.
Space group P-3m1 (No. 164)
Symmetry-distinct sites (fractional):
Dy 0.3333 0.6667 0.2237 [2 per cell]  12 Pt 2.91-3.12
B 0.0000 0.0000 0.0000 [1 per cell]  6 Pt 2.17
Pt 0.1673 0.3345 0.7346 [6 per cell]  1 B 2.17

***

Record 3
# Hf3GePd

A geometry-optimized Hf3GePd structure (PBE, Alexandria via LeMat-Bulk).

Computed properties:
M_tot ... 0.00 μB per cell
DFT total energy ... -41.11 eV/f.u.
ΔE_f ... -0.288 eV/atom

abc: 10.5747 6.7559 11.8278
angles: 90.00 101.55 90.00
Last column: nearest neighbours and their distance in Å.
Space group C2/c (No. 15)
Symmetry-distinct sites (fractional):
Hf 0.0126 0.2270 0.0275 [8 per cell]  2 Ge 2.60-2.72, 1 Pd 2.67
Hf 0.1480 0.0337 0.8182 [8 per cell]  2 Ge 2.64-2.82, 2 Pd 2.77-2.89
Hf 0.2313 0.4047 0.4012 [8 per cell]  2 Ge 2.60-2.80, 1 Pd 2.84
Ge 0.0000 0.3098 0.2500 [4 per cell]  2 Pd 2.62, 6 Hf 2.72-2.82
Ge 0.2500 0.2500 0.0000 [4 per cell]  6 Hf 2.60-2.64
Pd 0.1069 0.3815 0.6733 [8 per cell]  1 Ge 2.62, 4 Hf 2.67-2.89

***

Record 4
# Nd4HfN5

A geometry-optimized Nd4HfN5 structure (PBE, Alexandria via LeMat-Bulk).

Computed properties:
Formation energy from raw total energies ... -1.447 eV per atom
M_tot ... 0.00 μB per cell
DFT total energy ... -85.12 eV/f.u.

abc: 7.9219 7.9219 5.1320
angles: 90.00 90.00 90.00
Last column: nearest neighbours and their distance in Å.
Space group I4 (No. 79)
Symmetry-distinct sites (fractional):
Nd 0.1034 0.2998 0.0000 [8 per cell]  6 N 2.48-2.75
Hf 0.0000 0.0000 0.4632 [2 per cell]  5 N 2.08-2.30
N 0.0000 0.0000 0.0580 [2 per cell]  1 Hf 2.08
N 0.0919 0.2739 0.5000 [8 per cell]  1 Hf 2.30, 2 Nd 2.48-2.51

***

Record 5
# Ti8GaS2

A geometry-optimized Ti8GaS2 structure (PBE, Alexandria via LeMat-Bulk).

Computed properties:
Formation energy from raw total energies ... -0.587 eV per atom
M_tot ... 0.00 μB per cell
DFT total energy ... -80.90 eV/f.u.

abc: 7.3050 10.9342 4.5498
angles: 90.00 104.52 90.00
Last column: nearest neighbours and their distance in Å.
Space group C2/m (No. 12)
Symmetry-distinct sites (fractional):
Ti 0.0000 0.2457 0.0000 [4 per cell]  2 S 2.39
Ti 0.1086 0.5000 0.8198 [4 per cell]  2 S 2.51, 1 Ti 2.55, 1 Ga 2.77
Ti 0.1999 0.1220 0.5730 [8 per cell]  2 S 2.40-2.53, 1 Ti 2.67
Ga 0.0000 0.0000 0.0000 [2 per cell]  8 Ti 2.69-2.97
S 0.0000 0.3140 0.5000 [4 per cell]  8 Ti 2.39-2.53

***

Record 6
# Th6SiBi5

A geometry-optimized Th6SiBi5 structure (PBE, Alexandria via LeMat-Bulk).

Computed properties:
Formation energy from raw total energies ... -0.621 eV per atom
M_tot ... 0.00 μB per cell
DFT total energy ... -76.80 eV/f.u.

abc: 7.8880 13.6348 7.8553
angles: 90.00 109.46 90.00
Last column: nearest neighbours and their distance in Å.
Space group C2/m (No. 12)
Symmetry-distinct sites (fractional):
Th 0.2205 0.0000 0.2618 [4 per cell]  1 Si 2.95, 4 Bi 3.25-3.29
Th 0.2262 0.1520 0.7286 [8 per cell]  1 Si 2.93, 4 Bi 3.22-3.26
Si 0.0000 0.0000 0.5000 [2 per cell]  6 Th 2.93-2.95
Bi 0.0000 0.1788 0.0000 [4 per cell]  6 Th 3.22-3.39
Bi 0.0000 0.3366 0.5000 [4 per cell]  6 Th 3.24-3.26
Bi 0.0000 0.5000 0.0000 [2 per cell]  6 Th 3.23-3.48

***

Sequential Fermi-level density of states output: 0.358; 0.183; 0.788; 0.202; 1.039; 0.710 states/eV per atom